{
  "formula": "InHAu3",
  "functional": "PBE",
  "state": "relaxed",
  "lattice": [[4.316, 0.000, 0.000], [0.000, 4.316, 0.000], [0.000, 0.000, 4.316]],
  "species": ["H", "Au", "Au", "Au", "In"],
  "fractional_positions": [[0.000, 0.000, 0.000], [0.500, 0.000, 0.000], [0.000, 0.000, 0.500], [0.000, 0.500, 0.000], [0.500, 0.500, 0.500]],
  "relative_energy_mev_per_atom": 0
}

=====

{
  "formula": "Ta2CuSi",
  "functional": "PBE",
  "state": "relaxed",
  "lattice": [[3.306, 0.000, 0.000], [0.000, 3.306, 0.000], [0.000, 0.000, 5.671]],
  "species": ["Ta", "Ta", "Cu", "Si"],
  "fractional_positions": [[0.000, 0.000, 0.991], [0.000, 0.000, 0.509], [0.500, 0.500, 0.250], [0.500, 0.500, 0.750]],
  "raw_formation_energy_ev_per_atom": -0.034
}

=====

{
  "formula": "Ba3Cd5In6",
  "functional": "PBE",
  "state": "relaxed",
  "lattice": [[-4.763, 0.997, -1.572], [1.570, -6.292, -8.749], [-4.988, -11.830, 7.612]],
  "species": ["Cd", "Cd", "Cd", "Cd", "Cd", "Cd", "Cd", "Cd", "Cd", "Cd", "In", "In", "In", "In", "In", "In", "In", "In", "In", "In", "In", "In", "Ba", "Ba", "Ba", "Ba", "Ba", "Ba"],
  "fractional_positions": [[0.000, 0.744, 0.000], [0.000, 0.525, 0.854], [0.500, 0.475, 0.646], [0.500, 0.256, 0.500], [0.500, 0.111, 0.840], [0.000, 0.889, 0.660], [0.000, 0.889, 0.340], [0.500, 0.475, 0.354], [0.000, 0.525, 0.146], [0.500, 0.111, 0.160], [0.000, 0.616, 0.658], [0.500, 0.384, 0.158], [0.500, 0.032, 0.639], [0.500, 0.940, 0.000], [0.500, 0.558, 0.000], [0.000, 0.968, 0.861], [0.000, 0.442, 0.500], [0.000, 0.968, 0.139], [0.000, 0.060, 0.500], [0.000, 0.616, 0.342], [0.500, 0.032, 0.361], [0.500, 0.384, 0.842], [0.500, 0.748, 0.500], [0.500, 0.748, 0.799], [0.000, 0.252, 0.701], [0.000, 0.252, 0.000], [0.000, 0.252, 0.299], [0.500, 0.748, 0.201]],
  "formation_enthalpy_0k_mev_per_atom": -319.1
}

=====

{
  "formula": "PmHg2P",
  "functional": "PBE",
  "state": "relaxed",
  "lattice": [[5.394, 0.000, 0.000], [0.000, 4.193, 0.000], [0.000, 0.000, 4.193]],
  "species": ["Hg", "Hg", "Pm", "P"],
  "fractional_positions": [[0.000, 0.000, 0.500], [0.000, 0.500, 0.000], [0.500, 0.000, 0.000], [0.500, 0.500, 0.500]],
  "formation_enthalpy_0k_mev_per_atom": -516.5
}

=====

{
  "formula": "LiTa2Pt2",
  "functional": "PBE",
  "state": "relaxed",
  "lattice": [[-4.259, 4.156, 5.249], [1.364, -5.551, 5.503], [2.334, 1.373, 0.807]],
  "species": ["Li", "Li", "Pt", "Pt", "Pt", "Pt", "Ta", "Ta", "Ta", "Ta"],
  "fractional_positions": [[0.000, 0.000, 0.000], [0.500, 0.500, 0.000], [0.133, 0.367, 0.000], [0.367, 0.867, 0.000], [0.633, 0.133, 0.000], [0.867, 0.633, 0.000], [0.663, 0.837, 0.500], [0.163, 0.663, 0.500], [0.837, 0.337, 0.500], [0.337, 0.163, 0.500]],
  "relative_energy_mev_per_atom": 0,
  "formation_enthalpy_0k_mev_per_atom": -404.2
}

=====

{
  "formula": "Al2ZnTeOs",
  "functional": "PBE",
  "state": "relaxed",
  "lattice": [[4.462, 0.000, 0.000], [0.000, 5.306, 0.000], [0.000, 0.000, 4.462]],
  "species": ["Os", "Te", "Al", "Al", "Zn"],
  "fractional_positions": [[0.500, 0.500, 0.500], [0.000, 0.500, 0.000], [0.500, 0.000, 0.000], [0.000, 0.000, 0.500], [0.000, 0.000, 0.000]],
  "raw_formation_energy_ev_per_atom": 1.289
}

=====

{
  "formula": "Pr2DyTi",
  "functional": "PBE",
  "state": "relaxed",
  "lattice": [[-3.117, 1.211, 0.703], [-2.771, -1.720, -1.020], [-1.994, -6.262, 10.248]],
  "species": ["Pr", "Pr", "Ti", "Dy"],
  "fractional_positions": [[0.917, 0.917, 0.248], [0.083, 0.083, 0.752], [0.000, 0.000, 0.000], [0.500, 0.500, 0.500]],
  "formation_enthalpy_0k_mev_per_atom": 462.7
}

=====

{
  "formula": "AcLaRuPt",
  "functional": "PBE",
  "state": "relaxed",
  "lattice": [[-0.614, 0.284, 5.152], [3.801, -1.599, 3.161], [2.720, 3.467, 2.753]],
  "species": ["Pt", "Ac", "La", "Ru"],
  "fractional_positions": [[0.750, 0.750, 0.750], [0.000, 0.000, 0.000], [0.500, 0.500, 0.500], [0.250, 0.250, 0.250]],
  "formation_enthalpy_0k_mev_per_atom": -495.6
}

=====

Raw total energy, record by record: -2.993; -8.340; -2.232; -3.208; -7.944; -3.337; -5.051; -6.584 eV/atom
Density of states at the Fermi level, record by record: 1.51; 2.81; 11.80; 1.52; 3.95; 4.12; 6.89; 4.08 states/eV per cell
Mass density, record by record: 14.596; 12.152; 6.645; 10.107; 14.168; 6.874; 6.727; 11.085 g/cm³